1.
Computed, not measured: a relaxed IrPdRu2 crystal at the PBE level of DFT.

a b c (Å): 6.187 6.187 6.187
angles (deg): 90.00 90.00 90.00
Space group Fm-3m (No. 225)
Asymmetric unit:
Ir 0.000 0.000 0.000 [4 per cell]
Pd 0.000 0.000 0.500 [4 per cell]
Ru 0.250 0.250 0.250 [8 per cell]

Properties
Volume (A^3/atom): 14.81
DOS at the Fermi energy (states/eV per cell): 24.980
Calculated total energy (eV per atom): -7.6317



2.
Computed, not measured: a relaxed La5TbDy2Tm crystal at the PBE level of DFT.

a b c (Å): 9.505 9.505 14.187
angles (deg): 90.00 90.00 90.00
Space group I4/mcm (No. 140)
Asymmetric unit:
La 0.000 0.000 0.000 [4 per cell]
La 0.201 0.299 0.135 [16 per cell]
Tb 0.000 0.000 0.250 [4 per cell]
Dy 0.109 0.391 0.500 [8 per cell]
Tm 0.000 0.500 0.250 [4 per cell]

Properties
Volume (A^3/atom): 35.60
DOS at the Fermi energy (states/eV per cell): 61.499
Calculated total energy (eV per atom): -4.4683



3.
Computed, not measured: a relaxed Nb5Mo2Os crystal at the PBE level of DFT.

a b c (Å): 5.501 10.839 4.618
angles (deg): 90.00 90.00 90.00
Space group Pbam (No. 55)
Asymmetric unit:
Nb 0.000 0.000 0.000 [2 per cell]
Nb 0.149 0.257 0.000 [4 per cell]
Nb 0.164 0.618 0.500 [4 per cell]
Mo 0.166 0.879 0.500 [4 per cell]
Os 0.000 0.500 0.000 [2 per cell]

Properties
Volume (A^3/atom): 17.21
DOS at the Fermi energy (states/eV per cell): 15.335
Calculated total energy (eV per atom): -10.4767



4.
Computed, not measured: a relaxed MnRu2Br crystal at the PBE level of DFT.

a b c (Å): 2.9748 2.9748 25.0608
angles (deg): 90.00 90.00 120.00
Space group R3m (No. 160, hexagonal axes)
Asymmetric unit:
Mn 0.0000 0.0000 0.0000 [3 per cell]
Ru 0.0000 0.0000 0.4933 [3 per cell]
Ru 0.0000 0.0000 0.7488 [3 per cell]
Br 0.0000 0.0000 0.2532 [3 per cell]

Properties
Volume (A^3/atom): 16.01
DOS at the Fermi energy (states/eV per cell): 12.277
Energy relative to the elements, uncorrected (meV/atom): 538.7



5.
Computed, not measured: a relaxed Cu4Pd10Pt crystal at the PBE level of DFT.

a b c (Å): 9.458 9.458 5.676
angles (deg): 90.00 90.00 90.00
Space group I4/m (No. 87)
Asymmetric unit:
Cu 0.093 0.701 0.000 [8 per cell]
Pd 0.000 0.500 0.250 [4 per cell]
Pd 0.107 0.205 0.249 [16 per cell]
Pt 0.000 0.000 0.500 [2 per cell]

Properties
Volume (A^3/atom): 16.92
DOS at the Fermi energy (states/eV per cell): 57.263
Calculated total energy (eV per atom): -4.6781



6.
Computed, not measured: a relaxed InPBr3 crystal at the PBE level of DFT.

a b c (Å): 5.273 5.273 5.273
angles (deg): 90.00 90.00 90.00
Space group Pm-3m (No. 221)
Asymmetric unit:
In 0.000 0.000 0.000 [1 per cell]
P 0.500 0.500 0.500 [1 per cell]
Br 0.000 0.500 0.500 [3 per cell]

Properties
Volume (A^3/atom): 29.32
DOS at the Fermi energy (states/eV per cell): 1.565
Energy relative to the elements, uncorrected (meV/atom): -209.4



7.
Computed, not measured: a relaxed CoNiSe3 crystal at the PBE level of DFT.

a b c (Å): 6.061 9.651 5.967
angles (deg): 90.00 90.00 90.00
Space group Pnma (No. 62)
Asymmetric unit:
Co 0.000 0.000 0.000 [4 per cell]
Ni 0.227 0.250 0.042 [4 per cell]
Se 0.138 0.559 0.365 [8 per cell]
Se 0.143 0.750 0.914 [4 per cell]

Properties
Volume (A^3/atom): 17.45
DOS at the Fermi energy (states/eV per cell): 17.940
Energy relative to the elements, uncorrected (meV/atom): -160.2



8.
Computed, not measured: a relaxed CsCd2HgAu crystal at the PBE level of DFT.

a b c (Å): 5.461 5.461 5.615
angles (deg): 90.00 90.00 90.00
Space group P4/mmm (No. 123)
Asymmetric unit:
Cs 0.000 0.000 0.000 [1 per cell]
Cd 0.000 0.500 0.500 [2 per cell]
Hg 0.500 0.500 0.000 [1 per cell]
Au 0.500 0.500 0.500 [1 per cell]

Properties
Volume (A^3/atom): 33.50
DOS at the Fermi energy (states/eV per cell): 2.505
Calculated total energy (eV per atom): -1.3905



9.
Computed, not measured: a relaxed SmDyZn3 crystal at the PBE level of DFT.

a b c (Å): 3.622 27.047 4.517
angles (deg): 90.00 90.00 90.00
Space group Cmcm (No. 63)
Asymmetric unit:
Sm 0.000 0.073 0.250 [4 per cell]
Dy 0.000 0.209 0.750 [4 per cell]
Zn 0.000 0.327 0.750 [4 per cell]
Zn 0.000 0.380 0.250 [4 per cell]
Zn 0.000 0.477 0.250 [4 per cell]

Properties
Volume (A^3/atom): 22.12
DOS at the Fermi energy (states/eV per cell): 23.950
Calculated total energy (eV per atom): -2.9560



10.
Computed, not measured: a relaxed AlPt2O crystal at the PBE level of DFT.

a b c (Å): 5.965 5.965 5.965
angles (deg): 90.00 90.00 90.00
Space group Fm-3m (No. 225)
Asymmetric unit:
Al 0.000 0.000 0.000 [4 per cell]
Pt 0.250 0.250 0.250 [8 per cell]
O 0.000 0.000 0.500 [4 per cell]

Properties
Volume (A^3/atom): 13.27
DOS at the Fermi energy (states/eV per cell): 35.281
Energy relative to the elements, uncorrected (meV/atom): -172.7



11.
Computed, not measured: a relaxed ZnCo2Ni crystal at the PBE level of DFT.

a b c (Å): 3.518 3.518 7.465
angles (deg): 90.00 90.00 90.00
Space group I4/mmm (No. 139)
Asymmetric unit:
Zn 0.000 0.000 0.000 [2 per cell]
Co 0.000 0.500 0.250 [4 per cell]
Ni 0.000 0.000 0.500 [2 per cell]

Properties
Volume (A^3/atom): 11.55
DOS at the Fermi energy (states/eV per cell): 8.925
Calculated total energy (eV per atom): -5.3087



12.
Computed, not measured: a relaxed Th4InRu2 crystal at the PBE level of DFT.

a b c (Å): 7.091 7.091 8.876
angles (deg): 107.41 106.79 105.24
Space group P1 (No. 1)
Asymmetric unit:
Th 0.000 0.000 0.000 [1 per cell]
Th 0.020 0.252 0.649 [1 per cell]
Th 0.059 0.731 0.572 [1 per cell]
Th 0.180 0.584 0.143 [1 per cell]
Th 0.518 0.585 0.553 [1 per cell]
Th 0.578 0.212 0.790 [1 per cell]
Th 0.610 0.181 0.240 [1 per cell]
Th 0.734 0.701 0.216 [1 per cell]
In 0.240 0.058 0.395 [1 per cell]
In 0.413 0.737 0.896 [1 per cell]
Ru 0.040 0.354 0.330 [1 per cell]
Ru 0.351 0.297 0.978 [1 per cell]
Ru 0.602 0.924 0.462 [1 per cell]
Ru 0.897 0.586 0.813 [1 per cell]

Properties
Volume (A^3/atom): 26.91
DOS at the Fermi energy (states/eV per cell): 12.716
Calculated total energy (eV per atom): -7.6174



13.
Computed, not measured: a relaxed LiCa2As crystal at the PBE level of DFT.

a b c (Å): 7.456 7.456 7.456
angles (deg): 90.00 90.00 90.00
Space group F-43m (No. 216)
Asymmetric unit:
Li 0.000 0.000 0.000 [4 per cell]
Ca 0.000 0.000 0.500 [4 per cell]
Ca 0.250 0.250 0.750 [4 per cell]
As 0.250 0.250 0.250 [4 per cell]

Properties
Volume (A^3/atom): 25.91
DOS at the Fermi energy (states/eV per cell): 12.576
Calculated total energy (eV per atom): -2.8461



14.
Computed, not measured: a relaxed Zn2TcIrRu crystal at the PBE level of DFT.

a b c (Å): 4.670 4.670 4.704
angles (deg): 90.00 90.00 90.00
Space group P4/mmm (No. 123)
Asymmetric unit:
Zn 0.000 0.500 0.000 [2 per cell]
Tc 0.000 0.000 0.500 [1 per cell]
Ir 0.500 0.500 0.000 [1 per cell]
Ru 0.500 0.500 0.500 [1 per cell]

Properties
Volume (A^3/atom): 20.52
DOS at the Fermi energy (states/eV per cell): 4.577
Calculated total energy (eV per atom): -4.8919



15.
Computed, not measured: a relaxed ErHf2Ti crystal at the PBE level of DFT.

a b c (Å): 3.580 3.580 7.150
angles (deg): 90.00 90.00 90.00
Space group P4/mmm (No. 123)
Asymmetric unit:
Er 0.000 0.000 0.000 [1 per cell]
Hf 0.500 0.500 0.297 [2 per cell]
Ti 0.000 0.000 0.500 [1 per cell]

Properties
Volume (A^3/atom): 22.90
DOS at the Fermi energy (states/eV per cell): 5.571
Calculated total energy (eV per atom): -7.9293



16.
Computed, not measured: a relaxed MnCrAs4 crystal at the PBE level of DFT.

a b c (Å): 7.811 7.811 7.811
angles (deg): 90.00 90.00 90.00
Space group F-43m (No. 216)
Asymmetric unit:
Mn 0.000 0.000 0.000 [4 per cell]
Cr 0.250 0.250 0.250 [4 per cell]
As 0.125 0.125 0.625 [16 per cell]

Properties
Volume (A^3/atom): 19.86
DOS at the Fermi energy (states/eV per cell): 21.900
Calculated total energy (eV per atom): -5.5580



17.
Computed, not measured: a relaxed Sc3InC crystal at the PBE level of DFT.

a b c (Å): 4.558 4.558 4.558
angles (deg): 90.00 90.00 90.00
Space group Pm-3m (No. 221)
Asymmetric unit:
Sc 0.000 0.000 0.500 [3 per cell]
In 0.500 0.500 0.500 [1 per cell]
C 0.000 0.000 0.000 [1 per cell]

Properties
Volume (A^3/atom): 18.94
DOS at the Fermi energy (states/eV per cell): 0.262
Calculated total energy (eV per atom): -6.8616



18.
Computed, not measured: a relaxed La2DyIn2 crystal at the PBE level of DFT.

a b c (Å): 9.362 9.362 3.576
angles (deg): 90.00 90.00 90.00
Space group P4/mbm (No. 127)
Asymmetric unit:
La 0.117 0.383 0.000 [4 per cell]
Dy 0.000 0.000 0.000 [2 per cell]
In 0.179 0.679 0.500 [4 per cell]

Properties
Volume (A^3/atom): 31.34
DOS at the Fermi energy (states/eV per cell): 12.214
Calculated total energy (eV per atom): -4.1951



19.
Computed, not measured: a relaxed La2FeTc crystal at the PBE level of DFT.

a b c (Å): 4.608 4.041 5.757
angles (deg): 90.00 112.71 90.00
Space group Pm (No. 6)
Asymmetric unit:
La 0.000 0.000 0.000 [1 per cell]
La 0.300 0.500 0.589 [1 per cell]
Fe 0.572 0.500 0.191 [1 per cell]
Tc 0.711 0.000 0.381 [1 per cell]

Properties
Volume (A^3/atom): 24.72
DOS at the Fermi energy (states/eV per cell): 4.391
Calculated total energy (eV per atom): -7.0561



20.
Computed, not measured: a relaxed TeOsPt2W crystal at the PBE level of DFT.

a b c (Å): 4.812 4.812 5.069
angles (deg): 90.00 90.00 90.00
Space group P4/mmm (No. 123)
Asymmetric unit:
Te 0.000 0.000 0.000 [1 per cell]
Os 0.000 0.000 0.500 [1 per cell]
Pt 0.000 0.500 0.500 [2 per cell]
W 0.500 0.500 0.000 [1 per cell]

Properties
Volume (A^3/atom): 23.47
DOS at the Fermi energy (states/eV per cell): 5.326
Energy relative to the elements, uncorrected (meV/atom): 1831.6